[1]
TcMoPt2 after structural relaxation. Source: Alexandria via LeMat-Bulk, functional PBE.

The value obtained for the excess energy over the best structure of this formula in the dataset is 0.173 eV per atom. For the volume, the calculation gives 184.5 Å³/cell. Its crystal system is trigonal. As for the formation energy: -0.33 eV/f.u.

```
data_TcMoPt2
_cell_length_a 2.7699
_cell_length_b 2.7699
_cell_length_c 27.7624
_cell_angle_alpha 90.00
_cell_angle_beta 90.00
_cell_angle_gamma 120.00
_symmetry_space_group_name_H-M 'R 3 m'
_symmetry_Int_Tables_number 160
_symmetry_space_group_name_Hall 'R 3 -2"'
loop_
_atom_site_label
_atom_site_type_symbol
_atom_site_fract_x
_atom_site_fract_y
_atom_site_fract_z
Tc1 Tc 0.0000 0.0000 0.0000
Mo1 Mo 0.0000 0.0000 0.2507
Pt1 Pt 0.0000 0.0000 0.5021
Pt2 Pt 0.0000 0.0000 0.7478
```

[2]
Ac2PF after structural relaxation. Source: Alexandria via LeMat-Bulk, functional PBE.

As for the formation energy without anion corrections: -1.634 eV per atom. The value obtained for the excess energy over the best structure of this formula in the dataset is 0.322 eV per atom. For the volume, the calculation gives 389.3 Å³/cell. Its crystal system is cubic.

```
data_Ac2PF
_cell_length_a 7.302
_cell_length_b 7.302
_cell_length_c 7.302
_cell_angle_alpha 90.00
_cell_angle_beta 90.00
_cell_angle_gamma 90.00
_symmetry_space_group_name_H-M 'F m -3 m'
_symmetry_Int_Tables_number 225
_symmetry_space_group_name_Hall '-F 4 2 3'
loop_
_atom_site_label
_atom_site_type_symbol
_atom_site_fract_x
_atom_site_fract_y
_atom_site_fract_z
Ac1 Ac 0.250 0.250 0.250
P1 P 0.000 0.000 0.000
F1 F 0.000 0.000 0.500
```